An optimized crystal structure of Nd5Ru2Rh, computed with GGA-PBE.

Cell lengths 8.8723, 8.8723, 8.8723 Å; angles 128.99, 128.99, 75.03 degrees
Closest atoms and distances in Å follow each position.
Fractional positions:
1 Nd 0.0000 0.0000 0.0000  4 Ru 3.01
2 Nd 0.0316 0.5316 0.8454  3 Ru 2.94-3.05, 2 Rh 3.22
3 Nd 0.1862 0.0316 0.5000  3 Ru 2.94-3.05, 2 Rh 3.22
4 Nd 0.3138 0.8138 0.8454  3 Ru 2.94-3.05, 2 Rh 3.22
5 Nd 0.4684 0.3138 0.5000  3 Ru 2.94-3.05, 2 Rh 3.22
6 Nd 0.5000 0.5000 0.0000  4 Ru 3.01
7 Nd 0.5316 0.6862 0.5000  3 Ru 2.94-3.05, 2 Rh 3.22
8 Nd 0.6862 0.1862 0.1546  3 Ru 2.94-3.05, 2 Rh 3.22
9 Nd 0.8138 0.9684 0.5000  3 Ru 2.94-3.05, 2 Rh 3.22
10 Nd 0.9684 0.4684 0.1546  3 Ru 2.94-3.05, 2 Rh 3.22
11 Ru 0.1268 0.3732 0.5000  1 Ru 2.74, 8 Nd 2.94-3.05
12 Ru 0.3732 0.8732 0.2463  1 Ru 2.74, 8 Nd 2.94-3.05
13 Ru 0.6268 0.1268 0.7537  1 Ru 2.74, 8 Nd 2.94-3.05
14 Ru 0.8732 0.6268 0.5000  1 Ru 2.74, 8 Nd 2.94-3.05
15 Rh 0.2500 0.2500 0.0000  10 Nd 3.22-3.52
16 Rh 0.7500 0.7500 0.0000  10 Nd 3.22-3.52

Its crystal system is tetragonal. Its energy of formation from the pure elements is -306 meV/atom. As for the space group: I4/mcm. The total magnetization is 0.000 μB per cell. The calculation puts the calculated volume at 25.68 Å³/atom.